#one
RbZnAs3 | GGA-PBE | optimized geometry

Cell lengths 5.077, 5.077, 5.077 Å; angles 90.00, 90.00, 90.00 degrees
Atoms (fractional coordinates):
Rb1 0.000 0.000 0.000
Zn1 0.500 0.500 0.500
As1 0.000 0.500 0.500
As2 0.500 0.000 0.500
As3 0.500 0.500 0.000

Output
**Volume**: 26.2 Å³ per atom
**Total magnetization**: 0.00 μB per atom
**Calculated density**: 4.77 Mg/m³

#two
RbZnAs3 | GGA-PBE | optimized geometry

Cell lengths 5.733, 5.733, 5.733 Å; angles 90.00, 90.00, 90.00 degrees
Atoms (fractional coordinates):
Rb1 0.000 0.000 0.000
Zn1 0.500 0.500 0.500
As1 0.000 0.000 0.500
As2 0.000 0.500 0.000
As3 0.500 0.000 0.000

Output
**Volume**: 37.7 Å³ per atom
**Total magnetization**: 0.00 μB per atom
**Calculated density**: 3.31 Mg/m³

How do the structures above rank in stability at the extremes? #one comes first and #two comes last.